Ca3NiO: relaxed, PBE+U.

Output
- Uncorrected energy: -3.507 eV/atom

a b c (Å): 4.7302 4.7302 4.7302
angles (deg): 90.00 90.00 90.00
Last column: nearest neighbours and their distance in Å.
Space group Pm-3m (No. 221)
Asymmetric unit:
Ca1 0.0000 0.0000 0.5000 (multiplicity 3)  2 O 2.37
Ni1 0.5000 0.5000 0.5000 (multiplicity 1)  12 Ca 3.34
O1 0.0000 0.0000 0.0000 (multiplicity 1)  6 Ca 2.37